*A*
Density functional theory data (GGA-PBE) for crystalline Rb2NaInH at its relaxed geometry.

a = 5.821 Å, b = 5.821 Å, c = 5.378 Å
α = 90.00°, β = 90.00°, γ = 90.00°
Fractional positions:
1 Rb 0.000 0.500 0.000
2 Rb 0.500 0.000 0.000
3 Na 0.000 0.000 0.500
4 In 0.500 0.500 0.500
5 H 0.500 0.500 0.000

Summary:
- calculated volume (Å³ per atom) = 36.45
- space-group type = P4/mmm, No. 123
- calculated density (g/cm³) = 2.82
- D(E_F) (states/eV/cell) = 2.71


*B*
Density functional theory data (GGA-PBE) for crystalline Rb2NaInH at its relaxed geometry.

a = 5.925 Å, b = 5.925 Å, c = 5.075 Å
α = 90.00°, β = 90.00°, γ = 90.00°
Fractional positions:
1 Rb 0.000 0.500 0.000
2 Rb 0.500 0.000 0.000
3 Na 0.000 0.000 0.500
4 In 0.500 0.500 0.500
5 H 0.000 0.000 0.000

Summary:
- calculated volume (Å³ per atom) = 35.63
- space-group type = P4/mmm, No. 123
- calculated density (g/cm³) = 2.89
- D(E_F) (states/eV/cell) = 2.82


Energy above the most stable structure, in eV/atom: *A* 0.030; *B* 0.000